w.
# Al2Cu2Ni, relaxed, DFT PBE-GGA
data_Al2Cu2Ni
_symmetry_space_group_name_H-M 'P b a m'
_symmetry_Int_Tables_number 55
_symmetry_space_group_name_Hall '-P 2 2ab'
_cell_length_a 4.710
_cell_length_b 7.230
_cell_length_c 3.996
_cell_angle_alpha 90.00
_cell_angle_beta 90.00
_cell_angle_gamma 90.00
loop_
_atom_site_label
_atom_site_type_symbol
_atom_site_fract_x
_atom_site_fract_y
_atom_site_fract_z
Al1 Al 0.233 0.118 0.000
Cu1 Cu 0.043 0.334 0.500
Ni1 Ni 0.000 0.000 0.500
# Theoretical density, g cm⁻³: 5.852



x.
# Al2Cu2Ni, relaxed, DFT PBE-GGA
data_Al2Cu2Ni
_symmetry_space_group_name_H-M 'P 4/n m m'
_symmetry_Int_Tables_number 129
_cell_length_a 3.493
_cell_length_b 3.493
_cell_length_c 11.745
_cell_angle_alpha 90.00
_cell_angle_beta 90.00
_cell_angle_gamma 90.00
loop_
_symmetry_equiv_pos_as_xyz
'x,y,z'
'-x,-y,-z'
'-y+1/2,x,z'
'y+1/2,-x,-z'
'-x+1/2,-y+1/2,z'
'x+1/2,y+1/2,-z'
'y,-x+1/2,z'
'-y,x+1/2,-z'
'x+1/2,-y,-z'
'-x+1/2,y,z'
'-y,-x,-z'
'y,x,z'
'-x,y+1/2,-z'
'x,-y+1/2,z'
'y+1/2,x+1/2,-z'
'-y+1/2,-x+1/2,z'
loop_
_atom_site_label
_atom_site_type_symbol
_atom_site_fract_x
_atom_site_fract_y
_atom_site_fract_z
Al1 Al 0.250 0.250 0.160
Al2 Al 0.250 0.750 0.500
Cu1 Cu 0.250 0.250 0.356
Cu2 Cu 0.250 0.750 0.000
Ni1 Ni 0.250 0.250 0.713
# Theoretical density, g cm⁻³: 5.558



y.
# Al2Cu2Ni, relaxed, DFT PBE-GGA
data_Al2Cu2Ni
_symmetry_space_group_name_H-M 'P 4 m m'
_symmetry_Int_Tables_number 99
_symmetry_space_group_name_Hall 'P 4 -2'
_cell_length_a 3.016
_cell_length_b 3.016
_cell_length_c 13.863
_cell_angle_alpha 90.00
_cell_angle_beta 90.00
_cell_angle_gamma 90.00
loop_
_atom_site_label
_atom_site_type_symbol
_atom_site_fract_x
_atom_site_fract_y
_atom_site_fract_z
Al1 Al 0.000 0.000 0.000
Al2 Al 0.000 0.000 0.198
Al3 Al 0.000 0.000 0.408
Al4 Al 0.000 0.000 0.619
Cu1 Cu 0.500 0.500 0.305
Cu2 Cu 0.500 0.500 0.511
Cu3 Cu 0.500 0.500 0.714
Cu4 Cu 0.500 0.500 0.902
Ni1 Ni 0.000 0.000 0.808
Ni2 Ni 0.500 0.500 0.103
# Theoretical density, g cm⁻³: 6.312



z.
# Al2Cu2Ni, relaxed, DFT PBE-GGA
data_Al2Cu2Ni
_symmetry_space_group_name_H-M 'P 4/m b m'
_symmetry_Int_Tables_number 127
_symmetry_space_group_name_Hall '-P 4 2ab'
_cell_length_a 6.723
_cell_length_b 6.723
_cell_length_c 2.888
_cell_angle_alpha 90.00
_cell_angle_beta 90.00
_cell_angle_gamma 90.00
loop_
_atom_site_label
_atom_site_type_symbol
_atom_site_fract_x
_atom_site_fract_y
_atom_site_fract_z
Al1 Al 0.172 0.328 0.000
Cu1 Cu 0.129 0.629 0.500
Ni1 Ni 0.000 0.000 0.500
# Theoretical density, g cm⁻³: 6.100



Quick ranking, most stable first: y, w, z, x.



w.
# Al2Cu2Ni, relaxed, DFT PBE-GGA
data_Al2Cu2Ni
_symmetry_space_group_name_H-M 'P -3 m 1'
_symmetry_Int_Tables_number 164
_symmetry_space_group_name_Hall '-P 3 2"'
_cell_length_a 4.0233
_cell_length_b 4.0233
_cell_length_c 5.0355
_cell_angle_alpha 90.00
_cell_angle_beta 90.00
_cell_angle_gamma 120.00
loop_
_atom_site_label
_atom_site_type_symbol
_atom_site_fract_x
_atom_site_fract_y
_atom_site_fract_z
Al1 Al 0.3333 0.6667 0.1583
Cu1 Cu 0.3333 0.6667 0.6477
Ni1 Ni 0.0000 0.0000 0.0000
# Theoretical density, g cm⁻³: 5.640



x.
# Al2Cu2Ni, relaxed, DFT PBE-GGA
data_Al2Cu2Ni
_symmetry_space_group_name_H-M 'C m m m'
_symmetry_Int_Tables_number 65
_symmetry_space_group_name_Hall '-C 2 2'
_cell_length_a 2.742
_cell_length_b 17.545
_cell_length_c 2.715
_cell_angle_alpha 90.00
_cell_angle_beta 90.00
_cell_angle_gamma 90.00
loop_
_atom_site_label
_atom_site_type_symbol
_atom_site_fract_x
_atom_site_fract_y
_atom_site_fract_z
Al1 Al 0.000 0.091 0.000
Cu1 Cu 0.000 0.311 0.500
Ni1 Ni 0.000 0.500 0.500
# Theoretical density, g cm⁻³: 6.097



Quick ranking, most stable first: x, w.



w.
# Al4CuNi2, relaxed, DFT PBE-GGA
data_Al4CuNi2
_symmetry_space_group_name_H-M 'P 1 21/m 1'
_symmetry_Int_Tables_number 11
_symmetry_space_group_name_Hall '-P 2yb'
_cell_length_a 7.017
_cell_length_b 4.154
_cell_length_c 7.196
_cell_angle_alpha 90.00
_cell_angle_beta 118.92
_cell_angle_gamma 90.00
loop_
_atom_site_label
_atom_site_type_symbol
_atom_site_fract_x
_atom_site_fract_y
_atom_site_fract_z
Al1 Al 0.015 0.250 0.388
Al2 Al 0.131 0.750 0.035
Al3 Al 0.428 0.750 0.866
Al4 Al 0.455 0.250 0.635
Cu1 Cu 0.232 0.750 0.436
Ni1 Ni 0.196 0.250 0.825
Ni2 Ni 0.287 0.250 0.242
# Theoretical density, g cm⁻³: 5.225



x.
# Al4CuNi2, relaxed, DFT PBE-GGA
data_Al4CuNi2
_symmetry_space_group_name_H-M 'P 3 m 1'
_symmetry_Int_Tables_number 156
_symmetry_space_group_name_Hall 'P 3 -2"'
_cell_length_a 3.8182
_cell_length_b 3.8182
_cell_length_c 10.2188
_cell_angle_alpha 90.00
_cell_angle_beta 90.00
_cell_angle_gamma 120.00
loop_
_atom_site_label
_atom_site_type_symbol
_atom_site_fract_x
_atom_site_fract_y
_atom_site_fract_z
Al1 Al 0.0000 0.0000 0.0000
Al2 Al 0.0000 0.0000 0.4708
Al3 Al 0.3333 0.6667 0.1656
Al4 Al 0.3333 0.6667 0.6587
Cu1 Cu 0.3333 0.6667 0.8976
Ni1 Ni 0.0000 0.0000 0.2388
Ni2 Ni 0.6667 0.3333 0.5629
# Theoretical density, g cm⁻³: 3.718



Quick ranking, most stable first: w, x.



w.
# Al4CuNi2, relaxed, DFT PBE-GGA
data_Al4CuNi2
_symmetry_space_group_name_H-M 'P m c 21'
_symmetry_Int_Tables_number 26
_symmetry_space_group_name_Hall 'P 2c -2'
_cell_length_a 2.931
_cell_length_b 2.820
_cell_length_c 22.797
_cell_angle_alpha 90.00
_cell_angle_beta 90.00
_cell_angle_gamma 90.00
loop_
_atom_site_label
_atom_site_type_symbol
_atom_site_fract_x
_atom_site_fract_y
_atom_site_fract_z
Al1 Al 0.000 0.198 0.000
Al2 Al 0.000 0.199 0.873
Al3 Al 0.000 0.206 0.128
Al4 Al 0.000 0.220 0.733
Cu1 Cu 0.500 0.297 0.303
Ni1 Ni 0.500 0.302 0.435
Ni2 Ni 0.500 0.303 0.564
# Theoretical density, g cm⁻³: 5.091



x.
# Al4CuNi2, relaxed, DFT PBE-GGA
data_Al4CuNi2
_symmetry_space_group_name_H-M 'P -3 m 1'
_symmetry_Int_Tables_number 164
_symmetry_space_group_name_Hall '-P 3 2"'
_cell_length_a 2.7752
_cell_length_b 2.7752
_cell_length_c 14.7871
_cell_angle_alpha 90.00
_cell_angle_beta 90.00
_cell_angle_gamma 120.00
loop_
_atom_site_label
_atom_site_type_symbol
_atom_site_fract_x
_atom_site_fract_y
_atom_site_fract_z
Al1 Al 0.3333 0.6667 0.3620
Al2 Al 0.3333 0.6667 0.9217
Cu1 Cu 0.0000 0.0000 0.5000
Ni1 Ni 0.3333 0.6667 0.2014
# Theoretical density, g cm⁻³: 4.864



y.
# Al4CuNi2, relaxed, DFT PBE-GGA
data_Al4CuNi2
_symmetry_space_group_name_H-M 'R -3 m'
_symmetry_Int_Tables_number 166
_symmetry_space_group_name_Hall '-R 3 2"'
_cell_length_a 4.0926
_cell_length_b 4.0926
_cell_length_c 19.8029
_cell_angle_alpha 90.00
_cell_angle_beta 90.00
_cell_angle_gamma 120.00
loop_
_atom_site_label
_atom_site_type_symbol
_atom_site_fract_x
_atom_site_fract_y
_atom_site_fract_z
Al1 Al 0.0000 0.0000 0.1174
Al2 Al 0.0000 0.0000 0.3701
Cu1 Cu 0.0000 0.0000 0.5000
Ni1 Ni 0.0000 0.0000 0.2471
# Theoretical density, g cm⁻³: 5.010



Quick ranking, most stable first: y, w, x.